First-principles (PBEsol) data for ZrSiAs2 after structural relaxation, as listed in Alexandria via LeMat-Bulk.

The structure in extended XYZ format:
```
4
Lattice="-0.819 3.608 0.286 -1.777 -0.139 -3.339 -3.940 -2.984 2.296" Properties=species:S:1:pos:R:3 pbc="T T T"
As -6.305 0.511 -0.421
As -3.136 -0.723 0.145
Si -1.179 1.721 -1.020
Zr -3.749 1.195 -1.745
```

Summary:
Its raw total energy is -27.803 eV per cell. The density of states at the Fermi level comes out at 0.18 states/eV/f.u. Its distance to the lowest polymorph of the same formula is 16 meV per atom. The volume comes out at 72.0 Å³ per cell. The symmetry is No. 8. Its formation energy from raw total energies is -2.75 eV/f.u.

---

First-principles (PBEsol) data for HgPdSe2N after structural relaxation, as listed in Alexandria via LeMat-Bulk.

The structure in extended XYZ format:
```
5
Lattice="-1.997 -3.104 -1.393 4.265 -1.582 -2.588 1.477 -2.816 4.156" Properties=species:S:1:pos:R:3 pbc="T T T"
Se 0.739 -1.408 2.078
Se 2.132 -0.791 -1.294
Hg 0.000 0.000 0.000
Pd 1.873 -3.751 0.088
N -0.998 -1.552 -0.697
```

Summary:
Its raw total energy is -15.468 eV per cell. The density of states at the Fermi level comes out at 4.23 states/eV/f.u. The volume comes out at 108.0 Å³ per cell. The symmetry is No. 123. Its formation energy from raw total energies is 7.28 eV/f.u.

---

First-principles (PBEsol) data for Ta4Mo3 after structural relaxation, as listed in Alexandria via LeMat-Bulk.

The structure in extended XYZ format:
```
7
Lattice="4.517 0.000 0.000 0.000 5.305 -0.007 -2.259 -0.381 4.819" Properties=species:S:1:pos:R:3 pbc="T T T"
Mo 0.000 1.737 2.106
Mo 2.259 2.653 -0.003
Mo 2.259 3.187 2.707
Ta 0.000 4.055 0.634
Ta 0.000 4.629 3.420
Ta 2.259 0.295 1.392
Ta 2.259 0.868 4.178
```

Summary:
Its raw total energy is -86.424 eV per cell. The density of states at the Fermi level comes out at 5.38 states/eV/f.u. Its distance to the lowest polymorph of the same formula is 4 meV per atom. The volume comes out at 115.5 Å³ per cell. The symmetry is No. 12. The calculation puts the formation energy at -0.13 eV per atom.

---

First-principles (PBEsol) data for ZnRe2Ir after structural relaxation, as listed in Alexandria via LeMat-Bulk.

The structure in extended XYZ format:
```
4
Lattice="-2.815 1.399 -1.931 0.745 -2.322 -2.768 -2.565 -2.833 1.686" Properties=species:S:1:pos:R:3 pbc="T T T"
Ir -1.283 -1.416 0.843
Re 0.372 -1.161 -1.384
Re -1.407 0.700 -0.966
Zn -2.318 -1.878 -1.507
```

Summary:
Its raw total energy is -36.977 eV per cell. The density of states at the Fermi level comes out at 3.70 states/eV/f.u. Its distance to the lowest polymorph of the same formula is 170 meV per atom. The volume comes out at 56.8 Å³ per cell. The symmetry is No. 123. The calculation puts the formation energy at 0.27 eV per atom.

---

First-principles (PBEsol) data for AlTc2Hg after structural relaxation, as listed in Alexandria via LeMat-Bulk.

The structure in extended XYZ format:
```
4
Lattice="2.720 0.003 0.000 -0.879 2.574 0.000 0.000 0.000 8.841" Properties=species:S:1:pos:R:3 pbc="T T T"
Al 0.921 1.288 4.421
Hg 0.921 1.288 0.000
Tc 0.000 0.000 2.395
Tc 0.000 0.000 6.446
```

Summary:
Its raw total energy is -26.050 eV per cell. The density of states at the Fermi level comes out at 3.45 states/eV/f.u. Its distance to the lowest polymorph of the same formula is 35 meV per atom. The volume comes out at 61.9 Å³ per cell. The symmetry is No. 65. The calculation puts the formation energy at 0.29 eV per atom.

---

First-principles (PBEsol) data for ZrCoP after structural relaxation, as listed in Alexandria via LeMat-Bulk.

The structure in extended XYZ format:
```
12
Lattice="3.658 0.000 0.000 0.000 6.269 0.000 0.000 0.000 7.066" Properties=species:S:1:pos:R:3 pbc="T T T"
P 2.743 4.541 0.797
P 2.743 1.406 2.735
P 0.914 4.863 4.330
P 0.914 1.728 6.268
Co 0.914 0.866 3.963
Co 2.743 2.269 0.430
Co 0.914 4.001 6.635
Co 2.743 5.403 3.103
Zr 2.743 3.020 4.829
Zr 2.743 6.154 5.769
Zr 0.914 0.115 1.296
Zr 0.914 3.250 2.237
```

Summary:
Its raw total energy is -105.679 eV per cell. The density of states at the Fermi level comes out at 0.78 states/eV/f.u. The volume comes out at 162.0 Å³ per cell. The symmetry is No. 62. The calculation puts the formation energy at -1.27 eV per atom.

---

First-principles (PBEsol) data for Mn2AgSe after structural relaxation, as listed in Alexandria via LeMat-Bulk.

The structure in extended XYZ format:
```
4
Lattice="-0.530 2.639 1.489 -3.245 0.924 -2.794 -1.087 -3.928 3.397" Properties=species:S:1:pos:R:3 pbc="T T T"
Ag -3.062 -0.576 -0.068
Mn -0.097 -0.070 0.090
Mn -1.842 0.182 2.200
Se -2.835 -2.046 2.617
```

Summary:
Its raw total energy is -25.331 eV per cell. The density of states at the Fermi level comes out at 3.23 states/eV/f.u. The volume comes out at 61.7 Å³ per cell. The symmetry is No. 44. Its formation energy from raw total energies is 1.35 eV/f.u.

---

First-principles (PBEsol) data for LiCd2I after structural relaxation, as listed in Alexandria via LeMat-Bulk.

The structure in extended XYZ format:
```
8
Lattice="5.550 0.000 0.000 2.775 6.389 0.000 2.775 0.000 6.389" Properties=species:S:1:pos:R:3 pbc="T T T"
I 6.937 3.195 3.195
I 0.000 0.000 0.000
Li 4.162 3.195 3.195
Li 2.775 0.000 0.000
Cd 2.081 0.015 3.210
Cd 7.631 6.374 3.180
Cd 6.244 3.210 6.374
Cd 6.244 3.180 0.015
```

Summary:
Its raw total energy is -13.933 eV per cell. The density of states at the Fermi level comes out at 0.55 states/eV/f.u. The volume comes out at 226.6 Å³ per cell. The symmetry is No. 122. Its formation energy from raw total energies is -0.84 eV/f.u.